# 1
Density functional theory data (PBE-GGA) for a relaxed structure of Sm2GdSi4Ni4.

The structure in POSCAR format:
```
Sm2GdSi4Ni4
1.0
-1.9956 2.0230 11.6812
1.9956 -2.0230 11.6812
1.9956 2.0230 -11.6812
Gd Ni Si Sm
1 4 4 2
Direct
0.0000 0.0000 0.0000
0.2493 0.2493 0.0000
0.7507 0.7507 0.0000
0.9019 0.4019 0.5000
0.0981 0.5981 0.5000
0.4489 0.4489 0.0000
0.5511 0.5511 0.0000
0.8018 0.3018 0.5000
0.1982 0.6982 0.5000
0.6486 0.1486 0.5000
0.3514 0.8514 0.5000
```

Summary:
Its space group is No. 71. The calculation puts the spin magnetization at 0.01 μB per formula unit. The total energy comes out at -6.08 eV per atom.

---

# 2
Density functional theory data (PBE-GGA) for a relaxed structure of SmGd2Si4Ni4.

The structure in POSCAR format:
```
SmGd2Si4Ni4
1.0
-1.9994 2.0285 11.6567
1.9994 -2.0285 11.6567
1.9994 2.0285 -11.6567
Gd Ni Si Sm
2 4 4 1
Direct
0.6487 0.1487 0.5000
0.3513 0.8513 0.5000
0.2493 0.2493 0.0000
0.7507 0.7507 0.0000
0.9014 0.4014 0.5000
0.0986 0.5986 0.5000
0.4483 0.4483 0.0000
0.5517 0.5517 0.0000
0.8020 0.3020 0.5000
0.1980 0.6980 0.5000
0.0000 0.0000 0.0000
```

Summary:
Its space group is No. 71. The calculation puts the spin magnetization at 0.01 μB per formula unit. The total energy comes out at -6.09 eV per atom.

---

# 3
Density functional theory data (PBE-GGA) for a relaxed structure of TbGdSi4Ni2.

The structure in POSCAR format:
```
TbGdSi4Ni2
1.0
3.9953 0.0000 0.0000
0.0000 2.0150 8.1800
0.0000 -2.0150 8.1800
Gd Ni Si Tb
1 2 4 1
Direct
0.0000 0.3945 0.3945
0.0000 0.1787 0.1787
0.5000 0.8211 0.8211
0.0000 0.0402 0.0402
0.5000 0.2500 0.2500
0.0000 0.7496 0.7496
0.5000 0.9602 0.9602
0.5000 0.6057 0.6057
```

Summary:
Its space group is No. 38. The calculation puts the spin magnetization at 0.00 μB per formula unit. The total energy comes out at -6.11 eV per atom.

---

# 4
Density functional theory data (PBE-GGA) for a relaxed structure of GdSi2TcNi.

The structure in POSCAR format:
```
GdSi2TcNi
1.0
-1.0444 -0.1746 5.6454
-4.9498 2.0259 2.0945
1.8125 -3.5108 -4.1690
Gd Ni Si Tc
1 1 2 1
Direct
0.0000 0.0000 0.0000
0.7500 0.2500 0.5000
0.3743 0.3743 0.0000
0.6257 0.6257 0.0000
0.2500 0.7500 0.5000
```

Summary:
Its space group is No. 119. The calculation puts the spin magnetization at 0.00 μB per formula unit. The total energy comes out at -7.04 eV per atom.

---

# 5
Density functional theory data (PBE-GGA) for a relaxed structure of GdTmSi4Ni2.

The structure in POSCAR format:
```
GdTmSi4Ni2
1.0
-1.6062 3.3853 1.2983
3.1873 -1.4281 7.6673
6.0540 0.6387 5.8247
Gd Ni Si Tm
1 2 4 1
Direct
0.0000 0.3950 0.3950
0.0000 0.1773 0.1773
0.5000 0.8219 0.8219
0.0000 0.0406 0.0406
0.5000 0.2492 0.2492
0.0000 0.7491 0.7491
0.5000 0.9610 0.9610
0.5000 0.6060 0.6060
```

Summary:
Its space group is No. 38. The calculation puts the spin magnetization at 0.00 μB per formula unit. The total energy comes out at -6.07 eV per atom.

---

# 6
Density functional theory data (PBE-GGA) for a relaxed structure of GdYSi4Ni2.

The structure in POSCAR format:
```
GdYSi4Ni2
1.0
3.9942 0.0000 0.0000
0.0000 2.0119 8.1842
0.0000 -2.0119 8.1842
Gd Ni Si Y
1 2 4 1
Direct
0.0000 0.3946 0.3946
0.0000 0.1786 0.1786
0.5000 0.8212 0.8212
0.0000 0.0404 0.0404
0.5000 0.2500 0.2500
0.0000 0.7495 0.7495
0.5000 0.9602 0.9602
0.5000 0.6056 0.6056
```

Summary:
Its space group is No. 38. The calculation puts the spin magnetization at 0.00 μB per formula unit. The total energy comes out at -6.34 eV per atom.

---

# 7
Density functional theory data (PBE-GGA) for a relaxed structure of SmGd2Ni9.

The structure in POSCAR format:
```
SmGd2Ni9
1.0
2.5012 1.4441 8.1911
-2.5012 1.4441 8.1911
0.0000 -2.8881 8.1911
Gd Ni Sm
2 9 1
Direct
0.1391 0.1391 0.1391
0.8609 0.8609 0.8609
0.5817 0.5817 0.0815
0.3329 0.3329 0.3329
0.9185 0.4183 0.4183
0.4183 0.9185 0.4183
0.5000 0.5000 0.5000
0.5817 0.0815 0.5817
0.0815 0.5817 0.5817
0.6671 0.6671 0.6671
0.4183 0.4183 0.9185
0.0000 0.0000 0.0000
```

Summary:
Its space group is No. 166. Its formation enthalpy at 0 K is -385 meV per atom. The calculation puts the spin magnetization at 0.65 μB per formula unit.

---

# 8
Density functional theory data (PBE-GGA) for a relaxed structure of SmGdNi.

The structure in POSCAR format:
```
SmGdNi
1.0
0.0000 3.3859 3.3859
3.3859 0.0000 3.3859
3.3859 3.3859 0.0000
Gd Ni Sm
1 1 1
Direct
0.2500 0.2500 0.2500
0.0000 0.0000 0.0000
0.7500 0.7500 0.7500
```

Summary:
Its space group is No. 216. The value obtained for the offset from the most stable computed form is 0.00 eV/f.u. Its formation enthalpy at 0 K is -100 meV per atom. The calculation puts the spin magnetization at 0.00 μB per formula unit.

---

# 9
Density functional theory data (PBE-GGA) for a relaxed structure of Sm2GdNi4Sn4.

The structure in POSCAR format:
```
Sm2GdNi4Sn4
1.0
2.8950 -7.6079 -1.7442
-2.0733 -6.4821 4.7944
-2.3583 6.1628 -5.0755
Gd Ni Sm Sn
1 4 2 4
Direct
0.5000 0.0000 0.5000
0.5123 0.3222 0.1901
0.8679 0.6778 0.1901
0.1321 0.3222 0.8099
0.4877 0.6778 0.8099
0.1319 0.1319 0.0000
0.8681 0.8681 0.0000
0.7943 0.5000 0.2943
0.7155 0.2155 0.5000
0.2845 0.7845 0.5000
0.2057 0.5000 0.7057
```

Summary:
Its space group is No. 71. The calculation puts the spin magnetization at 0.00 μB per formula unit. The total energy comes out at -5.31 eV per atom.

---

# 10
Density functional theory data (PBE-GGA) for a relaxed structure of SmGdTlNi2.

The structure in POSCAR format:
```
SmGdTlNi2
1.0
-1.7707 3.2844 -0.1364
-4.2062 -2.0220 5.9184
-1.0395 -0.2507 7.4609
Gd Ni Sm Tl
1 2 1 1
Direct
0.5000 0.3611 0.3611
0.0000 0.2029 0.2029
0.0000 0.7993 0.7993
0.5000 0.6381 0.6381
0.0000 0.9986 0.9986
```

Summary:
Its space group is No. 38. The calculation puts the spin magnetization at 0.00 μB per formula unit. The total energy comes out at -5.02 eV per atom.

---

# 11
Density functional theory data (PBE-GGA) for a relaxed structure of SmGdZnNi2.

The structure in POSCAR format:
```
SmGdZnNi2
1.0
-2.1353 2.7062 4.1051
2.1353 -2.7062 4.1051
2.1353 2.7062 -4.1051
Gd Ni Sm Zn
1 2 1 1
Direct
0.7971 0.7971 0.0000
0.7696 0.5000 0.2696
0.2303 0.5000 0.7304
0.2029 0.2029 0.0000
0.5000 0.0000 0.5000
```

Summary:
Its space group is No. 44. Its formation enthalpy at 0 K is -427 meV per atom. The calculation puts the spin magnetization at 0.00 μB per formula unit.

---

# 12
Density functional theory data (PBE-GGA) for a relaxed structure of Gd6Ni2Sn.

The structure in POSCAR format:
```
Gd6Ni2Sn
1.0
-4.6625 4.9229 5.1224
4.6625 -4.9229 5.1224
4.6625 4.9229 -5.1224
Gd Ni Sn
12 4 2
Direct
0.3167 0.7918 0.1085
0.4707 0.2678 0.2028
0.9350 0.7322 0.2028
0.8238 0.1330 0.3092
0.1762 0.4855 0.3092
0.6833 0.7918 0.4751
0.3167 0.2082 0.5249
0.8238 0.5145 0.6908
0.1762 0.8670 0.6908
0.0650 0.2678 0.7972
0.5293 0.7321 0.7972
0.6833 0.2082 0.8915
0.8538 0.5000 0.3538
0.6215 0.1215 0.5000
0.3785 0.8785 0.5000
0.1462 0.5000 0.6462
0.0000 0.0000 0.0000
0.5000 0.5000 0.0000
```

Summary:
Its space group is No. 71. The calculation puts the spin magnetization at 0.00 μB per formula unit. The total energy comes out at -5.17 eV per atom.

---

Which formula does entry 5 have? GdTmSi4Ni2

---

spin magnetization of number 5 (GdTmSi4Ni2)? 0.00 μB per formula unit